Entry 1:
The following is a PBE calculation of a relaxed Cs3Pu3TcS8 crystal, from Alexandria via LeMat-Bulk.

Lattice parameters (Å, degrees): 7.9854 7.9860 9.3837 115.19 89.99 120.00
Each line ends with the local moment (μB).
Element x y z (fractional)
Cs 0.0000 0.0000 0.0000  0.00
Cs 0.0000 0.5000 0.0000  0.00
Cs 0.5000 0.5000 0.0000  0.00
Pu 0.5000 0.0000 0.5000  5.00
Pu 0.5000 0.5000 0.5000  5.00
Pu 0.0000 0.5000 0.5000  5.00
Tc 0.0000 0.0000 0.5000  1.88
S 0.2728 0.5455 0.3183  -0.10
S 0.7272 0.4545 0.6817  -0.10
S 0.7915 0.5829 0.3326  -0.06
S 0.2085 0.4171 0.6674  -0.06
S 0.7915 0.0411 0.3327  -0.06
S 0.2085 0.9589 0.6673  -0.06
S 0.2496 0.0411 0.3326  -0.06
S 0.7504 0.9589 0.6674  -0.06

## Properties
* raw formation energy: -1.267 eV per atom
* electronic total energy: -7.20 eV per atom
* Fermi-level density of states: 29.71 states/eV/cell

Entry 2:
The following is a PBE calculation of a relaxed NdMn crystal, from Alexandria via LeMat-Bulk.

Lattice parameters (Å, degrees): 5.1548 5.1549 5.1545 59.99 59.98 59.99
Each line ends with the local moment (μB).
Element x y z (fractional)
Mn 0.2494 0.2496 0.2509  3.54
Mn 0.7506 0.7504 0.7492  3.54
Nd 0.0000 0.0000 0.0000  -0.27
Nd 0.5000 0.5000 0.5000  -0.27

## Properties
* formation energy from the elements: 0.28 eV/atom
* electronic total energy: -6.69 eV per atom
* Fermi-level density of states: 3.56 states/eV/cell

Entry 3:
The following is a PBE calculation of a relaxed HgPd2RhC crystal, from Alexandria via LeMat-Bulk.

Lattice parameters (Å, degrees): 5.0626 5.0667 5.0626 90.00 90.00 90.00
Each line ends with the local moment (μB).
Element x y z (fractional)
C 0.5000 0.5000 0.5000  0.73
Rh 0.0000 0.5000 0.0000  0.84
Hg 0.0000 0.0000 0.0000  0.02
Pd 0.0000 0.0000 0.5000  0.07
Pd 0.5000 0.0000 0.0000  0.09

## Properties
* formation energy from the elements: 2.59 eV/atom
* electronic total energy: -2.86 eV per atom
* Fermi-level density of states: 8.74 states/eV/cell

Entry 4:
The following is a PBE calculation of a relaxed HoTmAlIn crystal, from Alexandria via LeMat-Bulk.

Lattice parameters (Å, degrees): 3.4520 3.4520 8.1657 90.00 90.00 90.00
Element x y z (fractional)
Ho 0.5000 0.5000 0.1208
Tm 0.5000 0.5000 0.5935
Al 0.0000 0.0000 0.3590
In 0.0000 0.0000 0.8547

## Properties
* formation energy from the elements: -0.41 eV/atom
* relative energy among the computed polymorphs: 0 meV per atom
* electronic total energy: -4.29 eV per atom
* Fermi-level density of states: 1.61 states/eV/cell

Entry 5:
The following is a PBE calculation of a relaxed Tb3Pm2Nd crystal, from Alexandria via LeMat-Bulk.

Lattice parameters (Å, degrees): 6.4377 8.1772 8.1772 71.52 90.00 90.00
Element x y z (fractional)
Tb 0.1068 0.8760 0.5101
Tb 0.6068 0.4899 0.1240
Tb 0.1068 0.5101 0.8760
Tb 0.6068 0.1240 0.4899
Tb 0.3163 0.9174 0.9174
Tb 0.8163 0.0826 0.0826
Pm 0.5685 0.7409 0.3788
Pm 0.0685 0.6212 0.2591
Pm 0.5685 0.3788 0.7409
Pm 0.0685 0.2591 0.6212
Nd 0.7910 0.8246 0.8246
Nd 0.2910 0.1754 0.1754

## Properties
* formation energy from the elements: 0.21 eV/atom
* relative energy among the computed polymorphs: 92 meV per atom
* electronic total energy: -4.48 eV per atom
* Fermi-level density of states: 18.84 states/eV/cell

Entry 6:
The following is a PBE calculation of a relaxed Pt5Se3 crystal, from Alexandria via LeMat-Bulk.

Lattice parameters (Å, degrees): 5.5985 5.5985 4.3240 90.00 90.00 95.73
Element x y z (fractional)
Pt 0.0000 0.0000 0.0000
Pt 0.0000 0.5000 0.0000
Pt 0.5000 0.0000 0.0000
Pt 0.2927 0.2927 0.5000
Pt 0.7073 0.7073 0.5000
Se 0.5000 0.5000 0.0000
Se 0.8061 0.1939 0.5000
Se 0.1939 0.8061 0.5000

## Properties
* raw formation energy: 0.212 eV per atom
* electronic total energy: -4.87 eV per atom
* Fermi-level density of states: 6.10 states/eV/cell